The following is a DFT calculation (PBE) of crystalline TaCuSn at its relaxed geometry.

abc: 2.975 4.503 4.503
angles: 120.00 90.00 90.00
Element x y z (fractional)
Ta 0.000 0.000 0.000
Sn 0.500 0.667 0.333
Cu 0.500 0.333 0.667

* formation enthalpy at 0 K: 213 meV per atom
* final energy: -6.44 eV/atom